A plane-wave DFT calculation with PBE was carried out for a geometry-optimized KAuSCl2 structure.

Calculated values
The value obtained for the energy relative to the elements, uncorrected is 0.496 eV/atom. The space-group type is No. 123. The value obtained for the polymorph energy (0 for the lowest one) is 1.047 eV/atom. Its total energy is -9.7 eV/cell. The density of states at the Fermi level comes out at 0.906 states/eV/atom.

abc: 5.7579 5.7579 5.7881
angles: 90.00 90.00 90.00
Sites, in units of the cell vectors:
K 0.0000 0.0000 0.0000
Au 0.5000 0.5000 0.5000
S 0.0000 0.0000 0.5000
Cl 0.0000 0.5000 0.0000
Cl 0.5000 0.0000 0.0000